# 1
This record from Alexandria via LeMat-Bulk describes crystalline FeRh5 at its relaxed geometry. The functional is PBE.

Computed properties:
Fermi-level density of states	7.595	states/eV/f.u.
calculated total energy	-7.5395	eV per atom
formation energy from the elements	-3	meV/atom

Lattice parameters (Å, degrees): 2.7041 2.7041 13.1385 90.00 90.00 120.00
Space group P-3m1 (No. 164)
Asymmetric unit:
Fe 0.0000 0.0000 0.0000 (multiplicity 1)
Rh 0.0000 0.0000 0.5000 (multiplicity 1)
Rh 0.3333 0.6667 0.3314 (multiplicity 2)
Rh 0.3333 0.6667 0.8411 (multiplicity 2)

# 2
This record from Alexandria via LeMat-Bulk describes crystalline TcAg2I at its relaxed geometry. The functional is PBE.

Computed properties:
raw formation energy	102.8	kJ per mole of atoms
Fermi-level density of states	1.686	states/eV/f.u.
E above lowest polymorph	3.74	kcal/mol of atoms
calculated total energy	-3.3394	eV per atom

Lattice parameters (Å, degrees): 7.059 7.059 7.059 90.00 90.00 90.00
Space group Fm-3m (No. 225)
Asymmetric unit:
Tc 0.000 0.000 0.000 (multiplicity 4)
Ag 0.250 0.250 0.250 (multiplicity 8)
I 0.000 0.000 0.500 (multiplicity 4)

Please write out number 2 again, unchanged.
This record from Alexandria via LeMat-Bulk describes crystalline TcAg2I at its relaxed geometry. The functional is PBE.

Computed properties:
raw formation energy	102.8	kJ per mole of atoms
Fermi-level density of states	1.686	states/eV/f.u.
E above lowest polymorph	3.74	kcal/mol of atoms
calculated total energy	-3.3394	eV per atom

Lattice parameters (Å, degrees): 7.059 7.059 7.059 90.00 90.00 90.00
Space group Fm-3m (No. 225)
Asymmetric unit:
Tc 0.000 0.000 0.000 (multiplicity 4)
Ag 0.250 0.250 0.250 (multiplicity 8)
I 0.000 0.000 0.500 (multiplicity 4)

Copy entry 1 word for word.
This record from Alexandria via LeMat-Bulk describes crystalline FeRh5 at its relaxed geometry. The functional is PBE.

Computed properties:
Fermi-level density of states	7.595	states/eV/f.u.
calculated total energy	-7.5395	eV per atom
formation energy from the elements	-3	meV/atom

Lattice parameters (Å, degrees): 2.7041 2.7041 13.1385 90.00 90.00 120.00
Space group P-3m1 (No. 164)
Asymmetric unit:
Fe 0.0000 0.0000 0.0000 (multiplicity 1)
Rh 0.0000 0.0000 0.5000 (multiplicity 1)
Rh 0.3333 0.6667 0.3314 (multiplicity 2)
Rh 0.3333 0.6667 0.8411 (multiplicity 2)

Copy entry 1 word for word.
This record from Alexandria via LeMat-Bulk describes crystalline FeRh5 at its relaxed geometry. The functional is PBE.

Computed properties:
Fermi-level density of states	7.595	states/eV/f.u.
calculated total energy	-7.5395	eV per atom
formation energy from the elements	-3	meV/atom

Lattice parameters (Å, degrees): 2.7041 2.7041 13.1385 90.00 90.00 120.00
Space group P-3m1 (No. 164)
Asymmetric unit:
Fe 0.0000 0.0000 0.0000 (multiplicity 1)
Rh 0.0000 0.0000 0.5000 (multiplicity 1)
Rh 0.3333 0.6667 0.3314 (multiplicity 2)
Rh 0.3333 0.6667 0.8411 (multiplicity 2)